1.
DFT (PBE) results for BaNa4Sn4 after structural relaxation. Values from VASP.

Geometry as Quantum ESPRESSO input:
```
&SYSTEM
  ibrav = 0, nat = 18, ntyp = 3
/
ATOMIC_SPECIES
Sn 118.71 Sn.upf
Na 22.99 Na.upf
Ba 137.33 Ba.upf
CELL_PARAMETERS angstrom
7.356 0.000 0.000
0.000 7.356 0.000
0.000 0.000 10.646
ATOMIC_POSITIONS angstrom
Sn 3.678 1.446 8.429
Na 3.678 5.575 0.964
Sn 5.910 3.678 2.217
Na 1.781 3.678 9.682
Na 5.459 0.000 6.287
Sn 0.000 5.124 7.540
Sn 3.678 5.910 8.429
Sn 2.232 0.000 3.106
Sn 0.000 2.232 7.540
Na 1.897 0.000 6.287
Sn 5.124 0.000 3.106
Na 0.000 1.897 4.359
Sn 1.446 3.678 2.217
Na 5.575 3.678 9.682
Na 3.678 1.781 0.964
Ba 3.678 3.678 5.323
Na 0.000 5.459 4.359
Ba 0.000 0.000 0.000
```

Computed properties:
density of states at the Fermi level	0.268	states/eV per atom
density	4.059	g/cm3
energy relative to the elements	-4.7	kcal/mol of atoms



2.
DFT (PBE) results for BaNa6Sn2 after structural relaxation. Values from VASP.

Geometry as Quantum ESPRESSO input:
```
&SYSTEM
  ibrav = 0, nat = 9, ntyp = 3
/
ATOMIC_SPECIES
Na 22.99 Na.upf
Sn 118.71 Sn.upf
Ba 137.33 Ba.upf
CELL_PARAMETERS angstrom
-4.590 -1.735 1.176
1.757 -1.639 4.437
-2.869 11.153 5.254
ATOMIC_POSITIONS angstrom
Na 0.105 2.186 3.634
Sn -3.967 8.228 7.477
Sn -1.735 -0.448 3.390
Na -2.851 3.890 5.434
Na -1.434 5.576 2.627
Na -1.217 7.328 6.057
Na -4.391 7.280 4.426
Na -3.068 2.138 2.004
Ba 0.000 0.000 0.000
```

Computed properties:
density of states at the Fermi level	0.358	states/eV per atom
density	2.642	g/cm3
energy relative to the elements	-4.6	kcal/mol of atoms



Question: Look up the density of the second one.
Answer: 2.642 g/cm3



Question: Number 2 is which compound?
Answer: BaNa6Sn2



Question: energy relative to the elements of number 2 (BaNa6Sn2)?
Answer: -4.6 kcal/mol of atoms



Question: Among the records above, which one has the highest energy relative to the elements?
Answer: BaNa6Sn2